# CePm2Y, relaxed, DFT PBE-GGA
# - V (Å³ per cell) = 393.35
# - magnetization (μB per cell) = 2.335
# - E above lowest polymorph (eV/f.u.) = 0.007
data_CePm2Y
_space_group_name_H-M_alt 'R 3 m'
_space_group_IT_number 160
_space_group_name_Hall 'R 3 -2"'
_cell_length_a 3.5953
_cell_length_b 3.5953
_cell_length_c 35.1386
_cell_angle_alpha 90.00
_cell_angle_beta 90.00
_cell_angle_gamma 120.00
loop_
_atom_site_label
_atom_site_type_symbol
_atom_site_fract_x
_atom_site_fract_y
_atom_site_fract_z
Ce1 Ce 0.0000 0.0000 0.0000
Pm1 Pm 0.0000 0.0000 0.5834
Pm2 Pm 0.0000 0.0000 0.7492
Y1 Y 0.0000 0.0000 0.1664


# Cs4K2Cd, relaxed, DFT PBE-GGA
# - V (Å³ per cell) = 2279.34
# - magnetization (μB per cell) = 0.000
# - E above lowest polymorph (eV/f.u.) = 0.000
data_Cs4K2Cd
_space_group_name_H-M_alt 'I 4/m c m'
_space_group_IT_number 140
_space_group_name_Hall '-I 4 2c'
_cell_length_a 16.728
_cell_length_b 16.728
_cell_length_c 8.145
_cell_angle_alpha 90.00
_cell_angle_beta 90.00
_cell_angle_gamma 90.00
loop_
_atom_site_label
_atom_site_type_symbol
_atom_site_fract_x
_atom_site_fract_y
_atom_site_fract_z
Cs1 Cs 0.093 0.195 0.000
K1 K 0.096 0.404 0.500
Cd1 Cd 0.000 0.000 0.250


# ZnSi2Rh, relaxed, DFT PBE-GGA
# - V (Å³ per cell) = 112.03
# - magnetization (μB per cell) = 0.000
# - formation energy from raw total energies (eV per atom) = -0.159
data_ZnSi2Rh
_space_group_name_H-M_alt 'C 1 m 1'
_space_group_IT_number 8
_space_group_name_Hall 'C -2y'
_cell_length_a 8.807
_cell_length_b 2.945
_cell_length_c 4.330
_cell_angle_alpha 90.00
_cell_angle_beta 94.10
_cell_angle_gamma 90.00
loop_
_atom_site_label
_atom_site_type_symbol
_atom_site_fract_x
_atom_site_fract_y
_atom_site_fract_z
Zn1 Zn 0.000 0.000 0.000
Si1 Si 0.022 0.500 0.512
Si2 Si 0.259 0.500 0.239
Rh1 Rh 0.254 0.000 0.722